Entry from Alexandria: a relaxed structure of Rb3Nd2SmO6 (PBE). Values from VASP.

Output
D(E_F)	0.0	states/eV/f.u.
total DFT energy (no corrections)	-77.76	eV per cell
size of the total moment	0.0	μB per formula unit
E_form (uncorrected)	-2.57	eV/atom
ρ	5.74	g cm⁻³

Cell and atoms, written as Quantum ESPRESSO input:
```
&SYSTEM
  ibrav = 0, nat = 12, ntyp = 4
/
ATOMIC_SPECIES
Rb 85.47 Rb.upf
Nd 144.24 Nd.upf
Sm 150.36 Sm.upf
O 16.00 O.upf
CELL_PARAMETERS angstrom
-1.2951 -2.6792 -5.5815
4.8750 -2.0806 3.4516
-5.1716 -2.7502 3.7148
ATOMIC_POSITIONS crystal
Rb 0.1662 0.8338 0.5000
Rb 0.8338 0.1662 0.5000
Rb 0.5000 0.5000 0.5000
Nd 0.3333 0.6667 0.0000
Nd 0.6667 0.3333 0.0000
Sm 0.0000 0.0000 0.0000
O 0.9399 0.6102 0.8198
O 0.7303 0.7303 0.1802
O 0.0601 0.3898 0.1802
O 0.6102 0.9399 0.8198
O 0.2697 0.2697 0.8198
O 0.3898 0.0601 0.1802
```